Record 1
DFT (PBE) results for a relaxed structure of Cs4RbHg5.

ΔH_f (0 K) = -0.168 eV/atom
Space-group type = I4mm, No. 107
E = -7.57 eV/f.u.
DOS at the Fermi energy = 6.9 states/eV per cell

Cell lengths 6.430, 9.807, 9.807 Å; angles 83.83, 70.86, 70.86 degrees
Atoms (fractional coordinates):
Cs 0.783 0.716 0.716
Cs 0.498 0.284 0.716
Cs 0.498 0.716 0.284
Cs 0.214 0.284 0.284
Rb 0.058 0.000 0.000
Hg 0.172 0.593 0.000
Hg 0.172 0.000 0.593
Hg 0.765 0.000 0.407
Hg 0.765 0.407 0.000
Hg 0.562 0.000 0.000

Record 2
DFT (PBE) results for a relaxed structure of Cs2Rb7Hg.

ΔH_f (0 K) = -0.033 eV/atom
Space-group type = C2/c, No. 15
E = -9.11 eV/f.u.
DOS at the Fermi energy = 17.1 states/eV per cell

Cell lengths 12.614, 13.767, 12.763 Å; angles 68.74, 60.39, 62.73 degrees
Atoms (fractional coordinates):
Cs 0.652 0.891 0.805
Cs 0.652 0.391 0.305
Cs 0.348 0.609 0.695
Cs 0.348 0.109 0.195
Rb 0.702 0.508 0.865
Rb 0.926 0.008 0.365
Rb 0.213 0.903 0.941
Rb 0.349 0.191 0.559
Rb 0.638 0.250 0.750
Rb 0.942 0.403 0.441
Rb 0.098 0.309 0.941
Rb 0.902 0.691 0.059
Rb 0.058 0.597 0.559
Rb 0.362 0.750 0.250
Rb 0.651 0.809 0.441
Rb 0.787 0.097 0.059
Rb 0.074 0.992 0.635
Rb 0.298 0.492 0.135
Hg 0.979 0.250 0.750
Hg 0.021 0.750 0.250

Record 3
DFT (PBE) results for a relaxed structure of Cs3Rb2Hg4.

ΔH_f (0 K) = -0.202 eV/atom
Space-group type = C2/m, No. 12
Offset from the most stable computed form = 0.000 eV/atom
E = -7.52 eV/f.u.
DOS at the Fermi energy = 5.2 states/eV per cell

Cell lengths 5.438, 8.260, 12.438 Å; angles 112.59, 102.61, 90.00 degrees
Atoms (fractional coordinates):
Cs 0.116 0.673 0.232
Cs 0.884 0.327 0.768
Cs 0.000 0.000 0.000
Rb 0.678 0.262 0.355
Rb 0.322 0.738 0.645
Hg 0.488 0.668 0.977
Hg 0.258 0.106 0.517
Hg 0.512 0.332 0.023
Hg 0.742 0.894 0.483